The following is a GGA-PBE calculation of a geometry-optimized MnFe2H6 structure, from the Alexandria database.

CIF file:
```
data_MnFe2H6
_chemical_formula_sum 'Mn2 Fe4 H12'
_symmetry_space_group_name_H-M 'I m m m'
_symmetry_Int_Tables_number 71
_symmetry_space_group_name_Hall '-I 2 2'
_cell_length_a 2.8821
_cell_length_b 4.0712
_cell_length_c 8.6709
_cell_angle_alpha 90.00
_cell_angle_beta 90.00
_cell_angle_gamma 90.00
loop_
_atom_site_label
_atom_site_fract_x
_atom_site_fract_y
_atom_site_fract_z
Mn1 0.0000 0.0000 0.0000
Fe1 0.0000 0.0000 0.3316
H1 0.0000 0.2398 0.5000
H2 0.0000 0.2532 0.1690
```

## Properties
The density of states at the Fermi level comes out at 8.69 states/eV per cell. The calculation puts the total magnetization at 12.0 Bohr magnetons per cell. The raw total energy is -5.096 eV per atom.